LaPaFeN3: optimized geometry, PBE.

```
LaPaFeN3
1.0
7.374 0.000 0.000
0.000 3.455 0.000
-1.576 0.000 7.213
La Pa Fe N
2 2 2 6
Cartesian
0.949 0.864 1.539 La
4.849 2.592 5.674 La
1.185 2.592 5.923 Pa
4.613 0.864 1.290 Pa
-0.247 0.864 4.156 Fe
6.045 2.592 3.057 Fe
-0.362 0.864 6.202 N
0.519 2.592 3.431 N
3.040 2.592 0.995 N
2.758 0.864 6.218 N
5.279 0.864 3.782 N
6.160 2.592 1.011 N
```

Fermi-level density of states = 0.173 states/eV per atom
uncorrected formation energy = -6.78 eV per formula unit
space group = P2_1/m

=====

CaOsO2: optimized geometry, PBE.

```
CaOsO2
1.0
1.544 0.891 6.539
-1.544 0.891 6.539
0.000 -1.783 6.539
Ca Os O
1 1 2
Cartesian
0.000 0.000 0.000 Ca
0.000 0.000 9.808 Os
0.000 0.000 7.918 O
0.000 0.000 11.698 O
```

Fermi-level density of states = 0.890 states/eV per atom
uncorrected formation energy = -5.22 eV per formula unit
space group = R-3m
E above lowest polymorph = 0 meV per atom

=====

VSi2Hg: optimized geometry, PBE.

```
VSi2Hg
1.0
-3.592 3.592 2.789
3.592 -3.592 2.789
3.592 3.592 -2.789
V Si Hg
2 4 2
Cartesian
0.000 0.000 0.000 V
0.000 3.592 1.394 V
5.388 1.665 -0.697 Si
1.665 1.796 0.697 Si
-1.796 1.928 2.091 Si
1.928 1.796 3.486 Si
3.592 0.000 1.394 Hg
0.000 0.000 2.789 Hg
```

Fermi-level density of states = 1.127 states/eV per atom
uncorrected formation energy = 2.50 eV per formula unit
space group = I-42d
E above lowest polymorph = 0 meV per atom

=====

Q: uncorrected formation energy of number 1 (LaPaFeN3)?
A: -6.78 eV per formula unit